Li2V3P4O14 (PBE with a Hubbard U, optimized geometry); DOS at the Fermi energy = 0.00 states/eV/f.u.; calculated volume = 545.2 Å³ per cell; total DFT energy (no corrections) = -7.292 eV/atom
1.0
7.4543 0.0000 0.0000
0.0000 7.9480 0.0000
-3.4452 0.0000 9.2016
Li V P O
4 6 8 28
direct
0.2086 0.0756 0.1517
0.2086 0.4244 0.6517
0.7914 0.5756 0.3483
0.7914 0.9244 0.8483
0.3083 0.1311 0.4808
0.3083 0.3689 0.9808
0.5000 0.0000 0.0000
0.5000 0.5000 0.5000
0.6917 0.6311 0.0192
0.6917 0.8689 0.5192
0.0989 0.0552 0.7175
0.0989 0.4448 0.2175
0.3807 0.7024 0.1924
0.3807 0.7976 0.6924
0.6193 0.2024 0.3076
0.6193 0.2976 0.8076
0.9011 0.5552 0.7825
0.9011 0.9448 0.2825
0.1070 0.5108 0.7995
0.1070 0.9892 0.2995
0.1218 0.1780 0.6049
0.1218 0.3220 0.1049
0.1800 0.6271 0.1886
0.1800 0.8729 0.6886
0.2216 0.1119 0.8739
0.2216 0.3881 0.3739
0.3421 0.6259 0.6206
0.3421 0.8741 0.1206
0.4651 0.5805 0.1085
0.4651 0.9195 0.6085
0.4925 0.2034 0.1449
0.4925 0.2966 0.6449
0.5075 0.7034 0.3551
0.5075 0.7966 0.8551
0.5349 0.0805 0.3915
0.5349 0.4195 0.8915
0.6579 0.1259 0.8794
0.6579 0.3741 0.3794
0.7784 0.6119 0.6261
0.7784 0.8881 0.1261
0.8200 0.1271 0.3114
0.8200 0.3729 0.8114
0.8782 0.6780 0.8951
0.8782 0.8220 0.3951
0.8930 0.0108 0.7005
0.8930 0.4892 0.2005